Entry from Alexandria: a geometry-optimized BeFeTc2 structure (PBE-GGA).

a = 4.5009 Å, b = 4.5009 Å, c = 2.6503 Å
α = 90.00°, β = 90.00°, γ = 112.16°
Site moments in Bohr magnetons follow the coordinates.
Positions (direct):
Be  0.5000  0.0000  0.5000  -0.01
Tc  0.0000  0.0000  0.0000  -0.06
Tc  0.5000  0.5000  0.0000  -0.06
Fe  0.0000  0.5000  0.5000  1.71

Results
Space-group type   Cmmm
Mass density   8712 kg/m3
Calculated volume   50 Å³ per cell
Formation energy from the elements   0.14 eV per atom
Magnetic moment   0.3901 μB per atom